Record 1
# PBE YIr2Rh, optimized geometry
data_YIr2Rh
_cell_length_a 3.407
_cell_length_b 3.407
_cell_length_c 6.049
_cell_angle_alpha 90.00
_cell_angle_beta 90.00
_cell_angle_gamma 90.00
_symmetry_space_group_name_H-M 'P 4 m m'
_symmetry_Int_Tables_number 99
_symmetry_space_group_name_Hall 'P 4 -2'
loop_
_atom_site_label
_atom_site_type_symbol
_atom_site_fract_x
_atom_site_fract_y
_atom_site_fract_z
Y1 Y 0.000 0.000 0.000
Ir1 Ir 0.000 0.000 0.491
Ir2 Ir 0.500 0.500 0.299
Rh1 Rh 0.500 0.500 0.731
# Calculated formation energy: -47 kJ/mol of formula units
# Total energy: -32.0 eV for the cell shown
# Total moment: 0.00 μB per atom

Record 2
# PBE Pm4AlCdHg2, optimized geometry
data_Pm4AlCdHg2
_cell_length_a 5.3735
_cell_length_b 5.3735
_cell_length_c 26.3353
_cell_angle_alpha 90.00
_cell_angle_beta 90.00
_cell_angle_gamma 120.00
_symmetry_space_group_name_H-M 'R -3 m'
_symmetry_Int_Tables_number 166
_symmetry_space_group_name_Hall '-R 3 2"'
loop_
_atom_site_label
_atom_site_type_symbol
_atom_site_fract_x
_atom_site_fract_y
_atom_site_fract_z
Pm1 Pm 0.0000 0.0000 0.1218
Pm2 Pm 0.0000 0.0000 0.3719
Al1 Al 0.0000 0.0000 0.0000
Cd1 Cd 0.0000 0.0000 0.5000
Hg1 Hg 0.0000 0.0000 0.2472
# Calculated formation energy: -299 kJ/mol of formula units
# Total energy: -82.1 eV for the cell shown
# Total moment: 0.18 μB per atom

Record 3
# PBE HgAuCl2, optimized geometry
data_HgAuCl2
_cell_length_a 4.0156
_cell_length_b 4.0156
_cell_length_c 21.1038
_cell_angle_alpha 90.00
_cell_angle_beta 90.00
_cell_angle_gamma 120.00
_symmetry_space_group_name_H-M 'R -3 m'
_symmetry_Int_Tables_number 166
_symmetry_space_group_name_Hall '-R 3 2"'
loop_
_atom_site_label
_atom_site_type_symbol
_atom_site_fract_x
_atom_site_fract_y
_atom_site_fract_z
Hg1 Hg 0.0000 0.0000 0.0000
Au1 Au 0.0000 0.0000 0.5000
Cl1 Cl 0.0000 0.0000 0.2348
# Total energy: -22.3 eV for the cell shown
# Formation energy without anion corrections: -0.041 eV/atom
# Total moment: 0.00 μB per atom

Record 4
# PBE Rb4Tl4Ge, optimized geometry
data_Rb4Tl4Ge
_cell_length_a 6.677
_cell_length_b 6.677
_cell_length_c 19.174
_cell_angle_alpha 90.00
_cell_angle_beta 90.00
_cell_angle_gamma 90.00
_symmetry_space_group_name_H-M 'I -4 2 m'
_symmetry_Int_Tables_number 121
_symmetry_space_group_name_Hall 'I -4 2'
loop_
_atom_site_label
_atom_site_type_symbol
_atom_site_fract_x
_atom_site_fract_y
_atom_site_fract_z
Rb1 Rb 0.237 0.237 0.347
Tl1 Tl 0.217 0.217 0.049
Ge1 Ge 0.000 0.000 0.500
# Calculated formation energy: -5 kJ/mol of formula units
# Total energy: -36.0 eV for the cell shown
# Total moment: 0.00 μB per atom

Record 5
# PBE CaSbIr2, optimized geometry
data_CaSbIr2
_cell_length_a 6.707
_cell_length_b 6.707
_cell_length_c 6.707
_cell_angle_alpha 90.00
_cell_angle_beta 90.00
_cell_angle_gamma 90.00
_symmetry_space_group_name_H-M 'F -4 3 m'
_symmetry_Int_Tables_number 216
_symmetry_space_group_name_Hall 'F -4 2 3'
loop_
_atom_site_label
_atom_site_type_symbol
_atom_site_fract_x
_atom_site_fract_y
_atom_site_fract_z
Ca1 Ca 0.000 0.000 0.000
Sb1 Sb 0.250 0.250 0.250
Ir1 Ir 0.000 0.000 0.500
Ir2 Ir 0.250 0.250 0.750
# Total energy: -92.2 eV for the cell shown
# Formation energy without anion corrections: 0.199 eV/atom
# Total moment: 0.00 μB per atom

Which of these has the highest total moment?
Pm4AlCdHg2

What did the second record say?
# PBE Pm4AlCdHg2, optimized geometry
data_Pm4AlCdHg2
_cell_length_a 5.3735
_cell_length_b 5.3735
_cell_length_c 26.3353
_cell_angle_alpha 90.00
_cell_angle_beta 90.00
_cell_angle_gamma 120.00
_symmetry_space_group_name_H-M 'R -3 m'
_symmetry_Int_Tables_number 166
_symmetry_space_group_name_Hall '-R 3 2"'
loop_
_atom_site_label
_atom_site_type_symbol
_atom_site_fract_x
_atom_site_fract_y
_atom_site_fract_z
Pm1 Pm 0.0000 0.0000 0.1218
Pm2 Pm 0.0000 0.0000 0.3719
Al1 Al 0.0000 0.0000 0.0000
Cd1 Cd 0.0000 0.0000 0.5000
Hg1 Hg 0.0000 0.0000 0.2472
# Calculated formation energy: -299 kJ/mol of formula units
# Total energy: -82.1 eV for the cell shown
# Total moment: 0.18 μB per atom

total moment of number 1 (YIr2Rh)?
0.00 μB per atom